[1]
# ScAgOs (PBE, relaxed)
data_ScAgOs
_cell_length_a 2.9285
_cell_length_b 2.9285
_cell_length_c 12.3571
_cell_angle_alpha 90.00
_cell_angle_beta 90.00
_cell_angle_gamma 90.00
_symmetry_space_group_name_H-M 'I 4 m m'
_symmetry_Int_Tables_number 107
_symmetry_space_group_name_Hall 'I 4 -2'
loop_
_atom_site_label
_atom_site_type_symbol
_atom_site_fract_x
_atom_site_fract_y
_atom_site_fract_z
_atom_site_occupancy
Sc1 Sc 0.0000 0.0000 0.0000 1
Ag1 Ag 0.0000 0.0000 0.3136 1
Os1 Os 0.0000 0.0000 0.6470 1
# Energy above the lowest structure with this stoichiometry = 35.5 meV/atom
# Size of the total moment = 0.82 Bohr magnetons per cell
# Crystal system = tetragonal

---

[2]
# ScAg2Os (PBE, relaxed)
data_ScAg2Os
_cell_length_a 2.8409
_cell_length_b 2.8409
_cell_length_c 29.6268
_cell_angle_alpha 90.00
_cell_angle_beta 90.00
_cell_angle_gamma 120.00
_symmetry_space_group_name_H-M 'R -3 m'
_symmetry_Int_Tables_number 166
_symmetry_space_group_name_Hall '-R 3 2"'
loop_
_atom_site_label
_atom_site_type_symbol
_atom_site_fract_x
_atom_site_fract_y
_atom_site_fract_z
_atom_site_occupancy
Sc1 Sc 0.0000 0.0000 0.0000 1
Ag1 Ag 0.0000 0.0000 0.2476 1
Os1 Os 0.0000 0.0000 0.5000 1
# Energy above the lowest structure with this stoichiometry = 347.1 meV/atom
# Size of the total moment = 0.60 Bohr magnetons per cell
# Crystal system = trigonal

---

[3]
# ScAg3Os (PBE, relaxed)
data_ScAg3Os
_cell_length_a 4.9816
_cell_length_b 4.9816
_cell_length_c 4.9816
_cell_angle_alpha 90.00
_cell_angle_beta 90.00
_cell_angle_gamma 90.00
_symmetry_space_group_name_H-M 'P m -3 m'
_symmetry_Int_Tables_number 221
_symmetry_space_group_name_Hall '-P 4 2 3'
loop_
_atom_site_label
_atom_site_type_symbol
_atom_site_fract_x
_atom_site_fract_y
_atom_site_fract_z
_atom_site_occupancy
Sc1 Sc 0.0000 0.0000 0.0000 1
Ag1 Ag 0.0000 0.5000 0.5000 1
Os1 Os 0.5000 0.5000 0.5000 1
# Energy above the lowest structure with this stoichiometry = 0.0 meV/atom
# Size of the total moment = 0.00 Bohr magnetons per cell
# Crystal system = cubic

---

| no. | calculated volume (Å³ per cell) | formation enthalpy at 0 K (eV/atom) |
| --- | --- | --- |
| 1 | 105.98 | 0.179 |
| 2 | 207.07 | 0.447 |
| 3 | 123.62 | 1.213 |